i:
Crystalline NaTiNi2 at its relaxed geometry. Source: Alexandria via LeMat-Bulk, functional GGA-PBE.

POSCAR file:
```
NaTiNi2
1.0
-3.3952 3.3952 2.7271
3.3952 -3.3952 2.7271
3.3952 3.3952 -2.7271
Na Ti Ni
2 2 4
Direct
0.0000 0.0000 0.0000
0.7500 0.2500 0.5000
0.2500 0.7500 0.5000
0.5000 0.5000 0.0000
0.1567 0.6250 0.0317
0.3750 0.4067 0.5317
0.5933 0.1250 0.9683
0.8750 0.8433 0.4683
```

Volume, Å³ per atom: 15.7

***

ii:
Crystalline NaTiNi2 at its relaxed geometry. Source: Alexandria via LeMat-Bulk, functional GGA-PBE.

POSCAR file:
```
NaTiNi2
1.0
0.0000 3.0582 3.0582
3.0582 0.0000 3.0582
3.0582 3.0582 0.0000
Na Ti Ni
1 1 2
Direct
0.0000 0.0000 0.0000
0.5000 0.5000 0.5000
0.2500 0.2500 0.2500
0.7500 0.7500 0.7500
```

Volume, Å³ per atom: 14.3

***

The structure with the least stability is i.